! PBE SmGaAg2, optimized geometry; values from VASP
! DOS(E_F)   1.467 states/eV/f.u.
! Raw total energy   -3.689 eV/atom
! SG   No. 59
! Formation energy   -327 meV/atom
&SYSTEM
  ibrav = 0, nat = 8, ntyp = 3
/
ATOMIC_SPECIES
Sm 150.36 Sm.upf
Ag 107.87 Ag.upf
Ga 69.72 Ga.upf
CELL_PARAMETERS angstrom
4.778 0.000 0.000
0.000 5.545 0.463
0.000 -0.530 6.355
ATOMIC_POSITIONS angstrom
Sm 1.194 3.397 1.884
Sm 3.583 1.617 4.934
Ag 3.583 4.216 6.681
Ag 1.194 0.545 3.176
Ag 3.583 4.470 3.642
Ag 1.194 0.799 0.138
Ga 1.194 3.660 5.106
Ga 3.583 1.354 1.712

=====

! PBE ErAl3Fe8, optimized geometry; values from VASP
! DOS(E_F)   13.213 states/eV/f.u.
! Raw total energy   -7.085 eV/atom
! SG   No. 160
! Formation energy   -128 meV/atom
&SYSTEM
  ibrav = 0, nat = 12, ntyp = 3
/
ATOMIC_SPECIES
Fe 55.84 Fe.upf
Al 26.98 Al.upf
Er 167.26 Er.upf
CELL_PARAMETERS angstrom
4.622 0.000 1.395
2.100 4.117 1.395
-0.012 -0.007 8.392
ATOMIC_POSITIONS angstrom
Fe 1.254 0.768 4.200
Fe 4.016 3.887 3.402
Fe 4.615 2.826 9.771
Fe 6.293 3.854 8.454
Fe 2.957 1.811 2.699
Fe 5.287 1.811 3.402
Fe 5.226 1.763 7.746
Fe 3.946 3.854 7.746
Al 3.309 2.026 5.745
Al 0.007 0.004 8.330
Al 2.505 1.534 8.409
Er 5.881 3.602 5.578

=====

! PBE Pm2InPd9, optimized geometry; values from VASP
! DOS(E_F)   8.177 states/eV/f.u.
! Raw total energy   -5.424 eV/atom
! SG   No. 166
! Formation energy   -509 meV/atom
&SYSTEM
  ibrav = 0, nat = 12, ntyp = 3
/
ATOMIC_SPECIES
In 114.82 In.upf
Pm 145.00 Pm.upf
Pd 106.42 Pd.upf
CELL_PARAMETERS angstrom
5.380 0.000 0.000
2.690 4.659 0.000
2.690 1.553 9.031
ATOMIC_POSITIONS angstrom
In 0.000 0.000 0.000
Pm 2.690 1.553 5.360
Pm 8.070 4.659 3.671
Pd 5.380 4.672 2.301
Pd 8.070 4.659 9.029
Pd 4.024 2.323 2.301
Pd 6.736 3.889 6.730
Pd 5.380 1.540 6.730
Pd 4.024 3.889 6.730
Pd 6.736 2.323 2.301
Pd 2.690 1.553 0.002
Pd 5.380 3.106 4.516

=====

! PBE LiYIn2Tc, optimized geometry; values from VASP
! DOS(E_F)   6.359 states/eV/f.u.
! Raw total energy   -3.795 eV/atom
! SG   No. 123
! Formation energy   1049 meV/atom
&SYSTEM
  ibrav = 0, nat = 5, ntyp = 4
/
ATOMIC_SPECIES
Tc 98.00 Tc.upf
In 114.82 In.upf
Li 6.94 Li.upf
Y 88.91 Y.upf
CELL_PARAMETERS angstrom
-0.046 -4.598 3.621
4.157 1.464 1.912
-2.933 3.151 3.965
ATOMIC_POSITIONS angstrom
Tc 2.079 0.732 0.956
In -1.467 1.576 1.983
In -0.023 -2.299 1.810
Li 0.589 0.008 4.749
Y 0.000 0.000 0.000

=====

! PBE CdGaTeO6, optimized geometry; values from VASP
! Raw formation energy   -9.99 eV/f.u.
! DOS(E_F)   6.286 states/eV/f.u.
! Raw total energy   -5.203 eV/atom
! SG   No. 163
&SYSTEM
  ibrav = 0, nat = 18, ntyp = 4
/
ATOMIC_SPECIES
O 16.00 O.upf
Ga 69.72 Ga.upf
Te 127.60 Te.upf
Cd 112.41 Cd.upf
CELL_PARAMETERS angstrom
-3.528 -2.814 2.660
5.052 -0.159 1.375
-1.396 7.411 5.987
ATOMIC_POSITIONS angstrom
O 0.041 2.839 6.392
O 2.694 2.551 3.060
O 2.284 0.743 5.202
O 3.543 -0.144 3.158
O 0.087 1.599 3.630
O -2.566 1.887 6.962
O -3.414 4.583 6.864
O 0.807 -0.845 3.388
O -1.516 3.489 8.660
O -0.679 5.283 6.634
O -2.155 3.695 4.820
O 1.644 0.949 1.362
Ga -1.017 -0.076 3.729
Ga 1.145 4.514 6.294
Te -1.715 3.629 6.722
Te 1.843 0.809 3.300
Cd -0.698 3.705 2.993
Cd 0.000 0.000 0.000

=====

! PBE VCuAs2Br, optimized geometry; values from VASP
! Raw formation energy   2.32 eV/f.u.
! DOS(E_F)   3.121 states/eV/f.u.
! Raw total energy   -4.374 eV/atom
! SG   No. 123
&SYSTEM
  ibrav = 0, nat = 5, ntyp = 4
/
ATOMIC_SPECIES
Br 79.90 Br.upf
Cu 63.55 Cu.upf
As 74.92 As.upf
V 50.94 V.upf
CELL_PARAMETERS angstrom
4.652 0.000 0.000
0.000 4.652 0.000
0.000 0.000 5.407
ATOMIC_POSITIONS angstrom
Br 0.000 0.000 2.704
Cu 2.326 2.326 2.704
As 2.326 0.000 0.000
As 0.000 2.326 0.000
V 0.000 0.000 0.000

=====

! PBE Rb2TiTe6Au2, optimized geometry; values from VASP
! Raw formation energy   -4.59 eV/f.u.
! DOS(E_F)   3.261 states/eV/f.u.
! Raw total energy   -3.621 eV/atom
! SG   No. 12
&SYSTEM
  ibrav = 0, nat = 11, ntyp = 4
/
ATOMIC_SPECIES
Te 127.60 Te.upf
Au 196.97 Au.upf
Ti 47.87 Ti.upf
Rb 85.47 Rb.upf
CELL_PARAMETERS angstrom
8.007 0.000 0.000
-4.004 6.885 -0.256
0.000 -4.302 7.617
ATOMIC_POSITIONS angstrom
Te -1.726 5.640 1.596
Te 5.730 -3.057 5.764
Te 2.278 -3.057 5.764
Te 1.726 5.640 1.596
Te 4.004 -0.096 5.652
Te 0.000 2.678 1.708
Au 0.000 0.069 2.149
Au 4.004 2.513 5.211
Ti 4.004 -2.151 3.808
Rb 0.000 0.226 5.772
Rb 4.004 2.356 1.589

=====

! PBE Zn2HgOs, optimized geometry; values from VASP
! DOS(E_F)   3.382 states/eV/f.u.
! Raw total energy   -3.093 eV/atom
! SG   No. 160
! Formation energy   426 meV/atom
&SYSTEM
  ibrav = 0, nat = 4, ntyp = 3
/
ATOMIC_SPECIES
Hg 200.59 Hg.upf
Os 190.23 Os.upf
Zn 65.41 Zn.upf
CELL_PARAMETERS angstrom
-2.276 7.517 4.916
-3.836 5.560 6.343
-1.062 5.960 7.015
ATOMIC_POSITIONS angstrom
Hg -3.586 9.516 9.136
Os -5.326 14.133 13.567
Zn -0.007 0.019 0.018
Zn -1.842 4.887 4.692

=====

! PBE GaFeCuNi, optimized geometry; values from VASP
! DOS(E_F)   2.077 states/eV/f.u.
! Raw total energy   -5.429 eV/atom
! SG   No. 216
! Formation energy   -87 meV/atom
&SYSTEM
  ibrav = 0, nat = 4, ntyp = 4
/
ATOMIC_SPECIES
Fe 55.84 Fe.upf
Cu 63.55 Cu.upf
Ga 69.72 Ga.upf
Ni 58.69 Ni.upf
CELL_PARAMETERS angstrom
-0.331 4.083 0.396
-2.237 1.596 3.064
1.865 1.922 3.124
ATOMIC_POSITIONS angstrom
Fe 0.000 0.000 0.000
Cu -0.176 1.900 1.646
Ga -0.351 3.800 3.292
Ni -0.527 5.701 4.938

=====

! PBE Pr6DySc3, optimized geometry; values from VASP
! DOS(E_F)   18.467 states/eV/f.u.
! Raw total energy   -5.056 eV/atom
! SG   No. 146
! Formation energy   172 meV/atom
&SYSTEM
  ibrav = 0, nat = 10, ntyp = 3
/
ATOMIC_SPECIES
Dy 162.50 Dy.upf
Pr 140.91 Pr.upf
Sc 44.96 Sc.upf
CELL_PARAMETERS angstrom
-6.339 2.910 -6.917
-9.460 -2.573 0.613
-6.016 3.357 -0.050
ATOMIC_POSITIONS angstrom
Dy -16.023 1.305 -5.692
Pr -12.834 2.182 -5.891
Pr -9.020 1.854 -0.253
Pr -14.288 1.967 -2.355
Pr -10.092 4.652 -5.069
Pr -7.619 2.039 -3.760
Pr -11.823 -0.613 -1.103
Sc -5.660 1.817 -1.023
Sc -11.131 2.813 -2.566
Sc -10.585 0.453 -4.059

=====

! PBE SrTaAg, optimized geometry; values from VASP
! DOS(E_F)   2.914 states/eV/f.u.
! Raw total energy   -5.011 eV/atom
! SG   No. 11
! Formation energy   451 meV/atom
&SYSTEM
  ibrav = 0, nat = 6, ntyp = 3
/
ATOMIC_SPECIES
Ag 107.87 Ag.upf
Ta 180.95 Ta.upf
Sr 87.62 Sr.upf
CELL_PARAMETERS angstrom
7.811 0.026 0.036
-0.887 5.575 -0.010
2.855 0.462 3.753
ATOMIC_POSITIONS angstrom
Ag 4.723 0.515 2.526
Ag 2.060 1.171 1.480
Ta 3.812 3.254 2.882
Ta 2.084 4.006 1.113
Sr 7.352 2.372 3.288
Sr 6.355 4.914 0.744

=====

! PBE SrAs5, optimized geometry; values from VASP
! DOS(E_F)   1.658 states/eV/f.u.
! Raw total energy   -4.315 eV/atom
! SG   No. 38
! Formation energy   -160 meV/atom
&SYSTEM
  ibrav = 0, nat = 6, ntyp = 2
/
ATOMIC_SPECIES
As 74.92 As.upf
Sr 87.62 Sr.upf
CELL_PARAMETERS angstrom
1.890 -8.481 0.000
1.890 8.481 0.000
0.000 0.000 4.594
ATOMIC_POSITIONS angstrom
As 1.890 8.410 0.000
As 1.890 -5.374 2.297
As 1.890 1.350 2.297
As 1.890 -1.735 0.000
As 1.890 2.861 0.000
Sr 1.890 5.795 2.297